(1)
Entry from Alexandria: a relaxed structure of SrNbMoAu2 (GGA-PBE).

Computed properties:
ρ ... 8.234 g/cm³
Formation energy from the elements ... 1448 meV per atom

a = 5.0876 Å, b = 5.2230 Å, c = 5.0876 Å
α = 90.00°, β = 90.00°, γ = 90.00°
With the nearest neighbours (Å) after each atom.
Sites, in units of the cell vectors:
Sr  0.0000  0.5000  0.0000  2 Mo 2.61
Mo  0.0000  0.0000  0.0000  4 Au 2.54, 2 Sr 2.61
Au  0.0000  0.0000  0.5000  2 Mo 2.54
Au  0.5000  0.0000  0.0000  2 Mo 2.54
Nb  0.5000  0.5000  0.5000  4 Sr 3.60, 8 Au 3.65

---

(2)
Entry from Alexandria: a relaxed structure of InCuAs2 (GGA-PBE).

Computed properties:
ρ ... 6.923 g/cm³
Formation energy from the elements ... 295 meV per atom

a = 2.9209 Å, b = 2.9209 Å, c = 9.2315 Å
α = 90.00°, β = 90.00°, γ = 88.23°
With the nearest neighbours (Å) after each atom.
Sites, in units of the cell vectors:
As  0.0000  0.0000  0.9993  4 As 2.92
As  0.5000  0.5000  0.3048  4 Cu 2.58-2.63
Cu  0.0000  0.0000  0.4772  4 As 2.58-2.63
In  0.5000  0.5000  0.7187  4 In 2.92, 4 Cu 3.02-3.06

---

(3)
Entry from Alexandria: a relaxed structure of Mg2ScCd2 (GGA-PBE).

Computed properties:
ρ ... 4.416 g/cm³
Excess energy over the best structure of this formula in the dataset ... 29 meV/atom
Formation energy from the elements ... -39 meV per atom

a = 4.8899 Å, b = 4.8899 Å, c = 5.7830 Å
α = 89.95°, β = 89.95°, γ = 59.98°
With the nearest neighbours (Å) after each atom.
Sites, in units of the cell vectors:
Mg  0.8336  0.3336  0.6489  5 Cd 2.83-3.04
Mg  0.1664  0.6664  0.3511  5 Cd 2.83-3.04
Sc  0.5000  0.0000  0.0000  6 Cd 2.97
Cd  0.8331  0.3331  0.1587  5 Mg 2.83-3.04, 3 Sc 2.97
Cd  0.1669  0.6669  0.8413  5 Mg 2.83-3.04, 3 Sc 2.97

---

(4)
Entry from Alexandria: a relaxed structure of LaTh2Sc (GGA-PBE).

Computed properties:
ρ ... 8.552 g/cm³
Excess energy over the best structure of this formula in the dataset ... 131 meV/atom
Formation energy from the elements ... 176 meV per atom

a = 3.4435 Å, b = 3.4435 Å, c = 12.4122 Å
α = 82.03°, β = 82.03°, γ = 60.00°
With the nearest neighbours (Å) after each atom.
Sites, in units of the cell vectors:
Sc  0.5000  0.5000  0.5000  6 Th 3.43, 6 Sc 3.44
Th  0.0906  0.0906  0.7284  1 La 3.33, 3 Sc 3.43, 6 Th 3.44
Th  0.9094  0.9094  0.2716  1 La 3.33, 3 Sc 3.43, 6 Th 3.44
La  0.0000  0.0000  0.0000  2 Th 3.33, 6 La 3.44

---

(5)
Entry from Alexandria: a relaxed structure of Tb4HgGeC (GGA-PBE).

Computed properties:
ρ ... 8.709 g/cm³
Formation energy from the elements ... -481 meV per atom

a = 6.9290 Å, b = 6.9197 Å, c = 8.1028 Å
α = 90.00°, β = 115.31°, γ = 90.00°
With the nearest neighbours (Å) after each atom.
Sites, in units of the cell vectors:
Tb  0.9177  0.2500  0.8354  1 C 2.49
Tb  0.4211  0.7500  0.8423  1 C 2.48
Tb  0.0823  0.7500  0.1646  1 C 2.49
Tb  0.5789  0.2500  0.1577  1 C 2.48
Tb  0.5000  0.5000  0.5000  2 C 2.45
Tb  0.0000  0.0000  0.5000  2 C 2.45
Tb  0.5000  0.0000  0.5000  2 C 2.45
Tb  0.0000  0.5000  0.5000  2 C 2.45
Hg  0.1167  0.2500  0.2335  5 Tb 2.92-3.13
Hg  0.8833  0.7500  0.7665  5 Tb 2.92-3.13
Ge  0.6255  0.7500  0.2509  5 Tb 2.99-3.05
Ge  0.3745  0.2500  0.7491  5 Tb 2.99-3.05
C  0.2521  0.7500  0.5041  6 Tb 2.45-2.49
C  0.7479  0.2500  0.4959  6 Tb 2.45-2.49

---

(6)
Entry from Alexandria: a relaxed structure of MgTlPH2 (GGA-PBE).

Computed properties:
Total DFT energy (no corrections) ... -13.699 eV for the cell shown
ρ ... 5.189 g/cm³

a = 3.8616 Å, b = 5.6153 Å, c = 3.8616 Å
α = 90.00°, β = 90.00°, γ = 90.00°
With the nearest neighbours (Å) after each atom.
Sites, in units of the cell vectors:
P  0.0000  0.0000  0.0000  4 H 1.93
Tl  0.0000  0.5000  0.0000  4 Mg 2.73, 2 P 2.81
Mg  0.5000  0.5000  0.5000  4 Tl 2.73
H  0.0000  0.0000  0.5000  2 P 1.93
H  0.5000  0.0000  0.0000  2 P 1.93

---

(7)
Entry from Alexandria: a relaxed structure of YZnHg (GGA-PBE).

Computed properties:
ρ ... 8.787 g/cm³
Formation energy from the elements ... -423 meV per atom

a = 4.6741 Å, b = 4.6741 Å, c = 7.0890 Å
α = 90.00°, β = 90.00°, γ = 120.00°
With the nearest neighbours (Å) after each atom.
Sites, in units of the cell vectors:
Y  0.0000  0.5000  0.5000  6 Zn 3.23, 6 Hg 3.23, 2 Y 3.54
Y  0.0000  0.5000  0.0000  6 Zn 3.23, 6 Hg 3.23, 2 Y 3.54
Zn  0.3332  0.1668  0.7500  3 Hg 2.70
Zn  0.6668  0.8332  0.2500  3 Hg 2.70
Hg  0.6665  0.8335  0.7500  3 Zn 2.70
Hg  0.3335  0.1665  0.2500  3 Zn 2.70

---

(8)
Entry from Alexandria: a relaxed structure of HfSc2Ni4 (GGA-PBE).

Computed properties:
ρ ... 7.045 g/cm³
Formation energy from the elements ... -218 meV per atom

a = 4.3600 Å, b = 4.3600 Å, c = 7.6312 Å
α = 73.40°, β = 73.40°, γ = 60.00°
With the nearest neighbours (Å) after each atom.
Sites, in units of the cell vectors:
Hf  0.0000  0.0000  0.0000  8 Ni 2.58-2.63
Sc  0.7605  0.7605  0.7186  8 Ni 2.58-2.82
Sc  0.2395  0.2395  0.2814  8 Ni 2.58-2.82
Ni  0.8808  0.8808  0.3577  4 Sc 2.58-2.60, 1 Hf 2.58
Ni  0.1192  0.1192  0.6423  4 Sc 2.58-2.60, 1 Hf 2.58
Ni  0.6321  0.6321  0.1038  3 Hf 2.63, 4 Sc 2.77-2.82, 3 Ni 2.93
Ni  0.3679  0.3679  0.8962  3 Hf 2.63, 4 Sc 2.77-2.82, 3 Ni 2.93

---

(9)
Entry from Alexandria: a relaxed structure of La2TaN3 (GGA-PBE).

Computed properties:
ρ ... 8.591 g/cm³
Excess energy over the best structure of this formula in the dataset ... 115 meV/atom
Raw formation energy ... -1.203 eV/atom

a = 5.7501 Å, b = 6.0474 Å, c = 6.0474 Å
α = 67.02°, β = 89.98°, γ = 89.98°
With the nearest neighbours (Å) after each atom.
Sites, in units of the cell vectors:
La  0.7499  0.1733  0.4836  5 N 2.52-2.73
La  0.2499  0.4836  0.1733  5 N 2.52-2.73
La  0.7501  0.5164  0.8267  5 N 2.52-2.73
La  0.2501  0.8267  0.5164  5 N 2.52-2.73
Ta  0.7500  0.9070  0.0930  1 N 1.92
Ta  0.2500  0.0930  0.9070  1 N 1.92
N  0.2500  0.3812  0.6188  1 Ta 1.92
N  0.7500  0.6188  0.3812  1 Ta 1.92
N  0.0000  0.8528  0.8527  2 Ta 2.16
N  0.5000  0.1473  0.1472  2 Ta 2.16
N  0.5000  0.8527  0.8528  2 Ta 2.16
N  0.0000  0.1472  0.1473  2 Ta 2.16

---

(10)
Entry from Alexandria: a relaxed structure of Tb2PrDy6Mg (GGA-PBE).

Computed properties:
ρ ... 7.625 g/cm³
Formation energy from the elements ... 116 meV per atom

a = 6.6456 Å, b = 10.8889 Å, c = 10.8889 Å
α = 125.35°, β = 85.95°, γ = 85.95°
With the nearest neighbours (Å) after each atom.
Sites, in units of the cell vectors:
Tb  0.5023  0.8211  0.6540  2 Pr 3.41-3.60, 7 Dy 3.47-3.65, 1 Mg 3.59
Tb  0.9977  0.3460  0.1789  2 Pr 3.41-3.60, 7 Dy 3.47-3.65, 1 Mg 3.59
Tb  0.4977  0.1789  0.3460  2 Pr 3.41-3.60, 7 Dy 3.47-3.65, 1 Mg 3.59
Tb  0.0023  0.6540  0.8211  2 Pr 3.41-3.60, 7 Dy 3.47-3.65, 1 Mg 3.59
Pr  0.2500  0.9899  0.0101  4 Dy 3.24-3.44, 2 Pr 3.35, 4 Tb 3.41-3.60
Pr  0.7500  0.0101  0.9899  4 Dy 3.24-3.44, 2 Pr 3.35, 4 Tb 3.41-3.60
Dy  0.0352  0.0787  0.7877  2 Pr 3.24-3.44, 1 Mg 3.29, 5 Dy 3.33-3.49, 2 Tb 3.48-3.61
Dy  0.4648  0.2123  0.9213  2 Pr 3.24-3.44, 1 Mg 3.29, 5 Dy 3.33-3.49, 2 Tb 3.48-3.61
Dy  0.9648  0.9213  0.2123  2 Pr 3.24-3.44, 1 Mg 3.29, 5 Dy 3.33-3.49, 2 Tb 3.48-3.61
Dy  0.5352  0.7877  0.0787  2 Pr 3.24-3.44, 1 Mg 3.29, 5 Dy 3.33-3.49, 2 Tb 3.48-3.61
Dy  0.2831  0.9133  0.4324  6 Dy 3.34-3.57, 2 Mg 3.37-3.40, 1 Tb 3.47
Dy  0.2169  0.5676  0.0867  6 Dy 3.34-3.57, 2 Mg 3.37-3.40, 1 Tb 3.47
Dy  0.7169  0.0867  0.5676  6 Dy 3.34-3.57, 2 Mg 3.37-3.40, 1 Tb 3.47
Dy  0.7831  0.4324  0.9133  6 Dy 3.34-3.57, 2 Mg 3.37-3.40, 1 Tb 3.47
Dy  0.0196  0.6931  0.5204  1 Mg 3.23, 3 Dy 3.45-3.57, 3 Tb 3.47-3.53
Dy  0.4804  0.4796  0.3069  1 Mg 3.23, 3 Dy 3.45-3.57, 3 Tb 3.47-3.53
Dy  0.9804  0.3069  0.4796  1 Mg 3.23, 3 Dy 3.45-3.57, 3 Tb 3.47-3.53
Dy  0.5196  0.5204  0.6931  1 Mg 3.23, 3 Dy 3.45-3.57, 3 Tb 3.47-3.53
Mg  0.2500  0.2923  0.7077  8 Dy 3.23-3.40, 2 Tb 3.59
Mg  0.7500  0.7077  0.2923  8 Dy 3.23-3.40, 2 Tb 3.59

---

(11)
Entry from Alexandria: a relaxed structure of BeCO (GGA-PBE).

Computed properties:
ρ ... 1.324 g/cm³
Excess energy over the best structure of this formula in the dataset ... 273 meV/atom
Raw formation energy ... -1.411 eV/atom

a = 2.5988 Å, b = 4.6805 Å, c = 8.0713 Å
α = 106.43°, β = 99.06°, γ = 90.00°
With the nearest neighbours (Å) after each atom.
Sites, in units of the cell vectors:
Be  0.0172  0.6581  0.1112  3 O 1.53-1.54
Be  0.5175  0.1583  0.1116  3 O 1.53-1.54
C  0.0081  0.7555  0.6114  2 C 1.30
C  0.5075  0.7555  0.6114  2 C 1.30
O  0.5169  0.4866  0.1106  3 Be 1.53-1.54
O  0.0178  0.9874  0.1123  3 Be 1.53-1.54

---

(12)
Entry from Alexandria: a relaxed structure of TcIr2Rh (GGA-PBE).

Computed properties:
ρ ... 16.880 g/cm³
Excess energy over the best structure of this formula in the dataset ... 41 meV/atom
Formation energy from the elements ... -89 meV per atom

a = 3.8724 Å, b = 3.8724 Å, c = 3.8399 Å
α = 90.00°, β = 90.00°, γ = 90.00°
With the nearest neighbours (Å) after each atom.
Sites, in units of the cell vectors:
Ir  0.0000  0.0000  0.0000  4 Tc 2.73, 4 Rh 2.73, 4 Ir 2.74
Ir  0.5000  0.5000  0.0000  4 Tc 2.73, 4 Rh 2.73, 4 Ir 2.74
Rh  0.5000  0.0000  0.5000  8 Ir 2.73, 4 Tc 2.74
Tc  0.0000  0.5000  0.5000  8 Ir 2.73, 4 Rh 2.74

---

(13)
Entry from Alexandria: a relaxed structure of TaTi2Se6 (GGA-PBE).

Computed properties:
ρ ... 6.287 g/cm³
Excess energy over the best structure of this formula in the dataset ... 225 meV/atom
Raw formation energy ... -0.794 eV/atom

a = 6.1566 Å, b = 6.4611 Å, c = 9.9676 Å
α = 90.00°, β = 88.79°, γ = 90.00°
With the nearest neighbours (Å) after each atom.
Sites, in units of the cell vectors:
Ta  0.5000  0.5000  0.0000  6 Se 2.55-2.61
Ta  0.0000  0.0000  0.5000  6 Se 2.55-2.61
Ti  0.9285  0.3605  0.7556  6 Se 2.54-2.72
Ti  0.5715  0.8605  0.7443  6 Se 2.54-2.72
Ti  0.4285  0.1395  0.2557  6 Se 2.54-2.72
Ti  0.0715  0.6395  0.2444  6 Se 2.54-2.72
Se  0.8220  0.9509  0.2693  2 Ti 2.54-2.72, 1 Ta 2.59
Se  0.8150  0.6582  0.5832  2 Ti 2.54-2.68, 1 Ta 2.61
Se  0.8373  0.6885  0.9102  1 Ta 2.55, 2 Ti 2.60-2.67
Se  0.6627  0.1885  0.5898  1 Ta 2.55, 2 Ti 2.60-2.67
Se  0.6850  0.1582  0.9168  2 Ti 2.54-2.68, 1 Ta 2.61
Se  0.6780  0.4509  0.2307  2 Ti 2.54-2.72, 1 Ta 2.59
Se  0.1780  0.0491  0.7307  2 Ti 2.54-2.72, 1 Ta 2.59
Se  0.1850  0.3418  0.4168  2 Ti 2.54-2.68, 1 Ta 2.61
Se  0.1627  0.3115  0.0898  1 Ta 2.55, 2 Ti 2.60-2.67
Se  0.3373  0.8115  0.4102  1 Ta 2.55, 2 Ti 2.60-2.67
Se  0.3150  0.8418  0.0832  2 Ti 2.54-2.68, 1 Ta 2.61
Se  0.3220  0.5491  0.7693  2 Ti 2.54-2.72, 1 Ta 2.59

---

(14)
Entry from Alexandria: a relaxed structure of BaAlHg (GGA-PBE).

Computed properties:
ρ ... 5.761 g/cm³
Excess energy over the best structure of this formula in the dataset ... 254 meV/atom
Formation energy from the elements ... -65 meV per atom

a = 5.2985 Å, b = 5.2985 Å, c = 5.2985 Å
α = 60.00°, β = 60.00°, γ = 60.00°
With the nearest neighbours (Å) after each atom.
Sites, in units of the cell vectors:
Al  0.0000  0.0000  0.0000  4 Hg 3.24
Hg  0.7500  0.7500  0.7500  4 Ba 3.24, 4 Al 3.24
Ba  0.5000  0.5000  0.5000  4 Hg 3.24

---

(15)
Entry from Alexandria: a relaxed structure of Cs3IBr2 (GGA-PBE).

Computed properties:
ρ ... 3.565 g/cm³
Raw formation energy ... -1.705 eV/atom

a = 9.1528 Å, b = 9.2254 Å, c = 9.2254 Å
α = 119.64°, β = 99.62°, γ = 99.62°
With the nearest neighbours (Å) after each atom.
Sites, in units of the cell vectors:
Cs  0.9997  0.1389  0.3199  4 Br 3.61-3.78, 2 I 3.87-3.92
Cs  0.4997  0.3199  0.1389  4 Br 3.61-3.78, 2 I 3.87-3.92
Cs  0.0000  0.5000  0.0000  4 Br 3.76, 2 I 3.82
Cs  0.0003  0.8611  0.6801  4 Br 3.61-3.78, 2 I 3.87-3.92
Cs  0.5000  0.0000  0.5000  4 Br 3.76, 2 I 3.82
Cs  0.5003  0.6801  0.8611  4 Br 3.61-3.78, 2 I 3.87-3.92
I  0.2500  0.5782  0.4218  6 Cs 3.82-3.92
I  0.7500  0.4218  0.5782  6 Cs 3.82-3.92
Br  0.2500  0.9161  0.0839  6 Cs 3.61-3.78
Br  0.2500  0.2537  0.7463  6 Cs 3.65-3.76
Br  0.7500  0.0839  0.9161  6 Cs 3.61-3.78
Br  0.7500  0.7463  0.2537  6 Cs 3.65-3.76

---

(16)
Entry from Alexandria: a relaxed structure of Sc3MnZn (GGA-PBE).

Computed properties:
ρ ... 3.525 g/cm³
Excess energy over the best structure of this formula in the dataset ... 710 meV/atom
Formation energy from the elements ... 939 meV per atom

a = 4.9354 Å, b = 4.9354 Å, c = 4.9354 Å
α = 90.00°, β = 90.00°, γ = 90.00°
With the nearest neighbours (Å) after each atom.
Sites, in units of the cell vectors:
Sc  0.0000  0.5000  0.0000  2 Zn 2.47
Sc  0.0000  0.0000  0.5000  2 Zn 2.47
Sc  0.5000  0.0000  0.0000  2 Zn 2.47
Zn  0.0000  0.0000  0.0000  6 Sc 2.47
Mn  0.5000  0.5000  0.5000  12 Sc 3.49

---

(17)
Entry from Alexandria: a relaxed structure of LiAlGe2 (GGA-PBE).

Computed properties:
ρ ... 4.403 g/cm³
Excess energy over the best structure of this formula in the dataset ... 1 meV/atom
Formation energy from the elements ... -73 meV per atom

a = 3.9119 Å, b = 4.1567 Å, c = 4.1567 Å
α = 90.00°, β = 90.00°, γ = 90.00°
With the nearest neighbours (Å) after each atom.
Sites, in units of the cell vectors:
Ge  0.0000  0.0000  0.5000  4 Al 2.85, 4 Li 2.85, 4 Ge 2.94
Ge  0.0000  0.5000  0.0000  4 Li 2.85, 4 Al 2.85, 4 Ge 2.94
Al  0.5000  0.0000  0.0000  8 Ge 2.85, 4 Li 2.94
Li  0.5000  0.5000  0.5000  8 Ge 2.85, 4 Al 2.94

---

(18)
Entry from Alexandria: a relaxed structure of SrSbPd2 (GGA-PBE).

Computed properties:
ρ ... 6.769 g/cm³
Raw formation energy ... -0.306 eV/atom

a = 4.4541 Å, b = 6.2882 Å, c = 4.8541 Å
α = 130.37°, β = 90.01°, γ = 90.00°
With the nearest neighbours (Å) after each atom.
Sites, in units of the cell vectors:
Sr  0.5000  0.5000  0.0000  2 Sb 3.14, 4 Pd 3.18
Sb  0.5000  0.0000  0.0000  4 Pd 2.65
Pd  0.9998  0.8064  0.6129  2 Sb 2.65, 1 Pd 2.86
Pd  0.0002  0.1936  0.3871  2 Sb 2.65, 1 Pd 2.86

---

(19)
Entry from Alexandria: a relaxed structure of LiTaBe (GGA-PBE).

Computed properties:
ρ ... 7.380 g/cm³
Excess energy over the best structure of this formula in the dataset ... 105 meV/atom
Formation energy from the elements ... 234 meV per atom

a = 9.6314 Å, b = 4.9332 Å, c = 4.9332 Å
α = 147.17°, β = 133.44°, γ = 46.56°
With the nearest neighbours (Å) after each atom.
Sites, in units of the cell vectors:
Be  0.9863  0.2566  0.7434  2 Be 2.16
Be  0.8782  0.9927  0.0073  2 Be 2.16
Li  0.3181  0.5761  0.4239  2 Be 2.69, 5 Li 2.79-2.85, 1 Ta 3.00
Li  0.1453  0.4344  0.5656  4 Be 2.61-2.63, 5 Li 2.79-2.85, 1 Ta 2.91
Ta  0.7264  0.8176  0.1824  4 Be 2.54-2.66, 5 Ta 2.76-2.82
Ta  0.5657  0.6597  0.3403  2 Be 2.58, 5 Ta 2.76-2.82

---

(20)
Entry from Alexandria: a relaxed structure of Cs2AgCl (GGA-PBE).

Computed properties:
ρ ... 3.412 g/cm³
Excess energy over the best structure of this formula in the dataset ... 43 meV/atom
Raw formation energy ... -0.912 eV/atom

a = 5.0564 Å, b = 5.0564 Å, c = 9.4552 Å
α = 74.49°, β = 74.49°, γ = 60.00°
With the nearest neighbours (Å) after each atom.
Sites, in units of the cell vectors:
Cs  0.0754  0.0754  0.7738  3 Cl 3.56, 3 Ag 3.81
Cs  0.2581  0.2581  0.2256  3 Cl 3.56, 3 Ag 3.83
Ag  0.4996  0.4996  0.5011  6 Cs 3.81-3.83
Cl  0.6668  0.6668  0.9995  6 Cs 3.56